Density functional theory data (PBE) for a geometry-optimized InTeIr2 structure.

abc: 3.1603 3.1603 25.6289
angles: 90.00 90.00 120.00
Space group R-3m (No. 166, hexagonal axes)
Symmetry-distinct sites (fractional):
In 0.0000 0.0000 0.0000 [3 per cell]
Te 0.0000 0.0000 0.5000 [3 per cell]
Ir 0.0000 0.0000 0.2496 [6 per cell]

Properties
For the total energy, the calculation gives -67.3 eV/cell. For the energy relative to the elements, uncorrected, the calculation gives 0.29 eV per atom. The distance to the lowest polymorph of the same formula is 89 meV per atom.